Here is a relaxed structure of AcPrInGe from Alexandria via LeMat-Bulk. Energies are from PBE.

a = 5.539 Å, b = 5.539 Å, c = 5.539 Å
α = 60.00°, β = 60.00°, γ = 60.00°
Fractional coordinates of all 4 atoms:
Pr1 0.500 0.500 0.500
Ge1 0.250 0.250 0.250
Ac1 0.000 0.000 0.000
In1 0.750 0.750 0.750

Summary:
Symmetry = F-43m
E = -4.510 eV/atom
Energy of formation = -0.45 eV per atom